No. 1
The following is a DFT calculation (PBE) of an optimized crystal structure of PmDyLu2.

Computed properties:
DFT total energy: -4.5707 eV per atom
total magnetic moment: 0.000 Bohr magnetons per cell
symmetry: R-3m
energy relative to the elements: 0.028 eV/atom
energy above the most stable polymorph in this dataset: 0.0 meV/atom

Lattice parameters (Å, degrees): 11.598 11.598 11.598 17.52 17.52 17.52
Atoms (fractional coordinates):
Pm (0.000, 0.000, 0.000)
Dy (0.500, 0.500, 0.500)
Lu (0.249, 0.249, 0.249)
Lu (0.751, 0.751, 0.751)

No. 2
The following is a DFT calculation (PBE) of an optimized crystal structure of Pm2DyLu.

Computed properties:
DFT total energy: -4.6355 eV per atom
total magnetic moment: 0.001 Bohr magnetons per cell
symmetry: P4/mmm
energy relative to the elements: 0.021 eV/atom
energy above the most stable polymorph in this dataset: 2.3 meV/atom

Lattice parameters (Å, degrees): 5.078 5.078 5.004 90.00 90.00 90.00
Atoms (fractional coordinates):
Pm (0.000, 0.500, 0.000)
Pm (0.500, 0.000, 0.000)
Dy (0.000, 0.000, 0.500)
Lu (0.500, 0.500, 0.500)

No. 3
The following is a DFT calculation (PBE) of an optimized crystal structure of PmDyLu2.

Computed properties:
DFT total energy: -4.5699 eV per atom
total magnetic moment: 0.001 Bohr magnetons per cell
symmetry: P4/mmm
energy relative to the elements: 0.029 eV/atom
energy above the most stable polymorph in this dataset: 0.8 meV/atom

Lattice parameters (Å, degrees): 5.011 5.011 4.941 90.00 90.00 90.00
Atoms (fractional coordinates):
Pm (0.000, 0.000, 0.000)
Dy (0.500, 0.500, 0.000)
Lu (0.000, 0.500, 0.500)
Lu (0.500, 0.000, 0.500)

No. 4
The following is a DFT calculation (PBE) of an optimized crystal structure of PmPrDyLu.

Computed properties:
DFT total energy: -4.5628 eV per atom
total magnetic moment: 0.000 Bohr magnetons per cell
symmetry: F-43m
energy relative to the elements: 0.100 eV/atom

Lattice parameters (Å, degrees): 5.718 5.718 5.718 60.00 60.00 60.00
Atoms (fractional coordinates):
Pm (0.000, 0.000, 0.000)
Pr (0.500, 0.500, 0.500)
Dy (0.750, 0.750, 0.750)
Lu (0.250, 0.250, 0.250)